DFT (PBE-GGA) results for an optimized crystal structure of Ce2NdSb.

Lattice parameters (Å, degrees): 7.729 7.729 7.729 90.00 90.00 90.00
Space group Fm-3m (No. 225)
Inequivalent atoms, fractional coordinates:
1 Ce 0.250 0.250 0.250 [8 per cell]
2 Nd 0.000 0.000 0.000 [4 per cell]
3 Sb 0.000 0.000 0.500 [4 per cell]

Properties
Energy relative to the elements, uncorrected = -1.0 eV per formula unit
ΔE to the lowest computed polymorph = 354 meV per atom
Magnetization = 2.1 μB per formula unit